PrGdSiAu: optimized geometry, PBE. Values from VASP.

The structure in Quantum ESPRESSO input format:
```
&SYSTEM
  ibrav = 0, nat = 4, ntyp = 4
/
ATOMIC_SPECIES
Pr 140.91 Pr.upf
Gd 157.25 Gd.upf
Si 28.09 Si.upf
Au 196.97 Au.upf
CELL_PARAMETERS angstrom
0.000 3.660 3.660
3.660 0.000 3.660
3.660 3.660 0.000
ATOMIC_POSITIONS angstrom
Pr 0.000 0.000 0.000
Gd 3.660 3.660 3.660
Si 1.830 1.830 1.830
Au 5.489 5.489 5.489
```

## Properties
ρ ... 8.9 Mg/m³
Total moment ... 7.84 μB/f.u.
E_tot ... -30.12 eV/cell

Ac2RhS: optimized geometry, PBE. Values from VASP.

The structure in Quantum ESPRESSO input format:
```
&SYSTEM
  ibrav = 0, nat = 8, ntyp = 3
/
ATOMIC_SPECIES
Ac 227.00 Ac.upf
Rh 102.91 Rh.upf
S 32.06 S.upf
CELL_PARAMETERS angstrom
4.244 0.000 0.000
-2.122 3.676 0.000
0.000 0.000 15.325
ATOMIC_POSITIONS angstrom
Ac 0.000 2.450 1.751
Ac 0.000 2.450 5.911
Ac 2.122 1.225 9.414
Ac 2.122 1.225 13.573
Rh 0.000 0.000 0.000
Rh 0.000 0.000 7.662
S 0.000 2.450 11.494
S 2.122 1.225 3.831
```

## Properties
ρ ... 8.2 Mg/m³
Total moment ... 0.00 μB/f.u.
E above lowest polymorph ... 0.072 eV per atom
E_tot ... -49.37 eV/cell

EuInRh2: optimized geometry, PBE. Values from VASP.

The structure in Quantum ESPRESSO input format:
```
&SYSTEM
  ibrav = 0, nat = 4, ntyp = 3
/
ATOMIC_SPECIES
Eu 151.96 Eu.upf
In 114.82 In.upf
Rh 102.91 Rh.upf
CELL_PARAMETERS angstrom
4.587 0.000 0.000
0.000 4.587 0.000
0.000 0.000 3.591
ATOMIC_POSITIONS angstrom
Eu 0.000 0.000 0.000
In 2.293 2.293 0.000
Rh 0.000 2.293 1.795
Rh 2.293 0.000 1.795
```

## Properties
ρ ... 10.4 Mg/m³
Formation energy ... -0.4123 eV per atom
Total moment ... 6.57 μB/f.u.
E_tot ... -29.36 eV/cell

HfNbN2: optimized geometry, PBE. Values from VASP.

The structure in Quantum ESPRESSO input format:
```
&SYSTEM
  ibrav = 0, nat = 16, ntyp = 3
/
ATOMIC_SPECIES
Hf 178.49 Hf.upf
Nb 92.91 Nb.upf
N 14.01 N.upf
CELL_PARAMETERS angstrom
6.147 0.000 0.000
0.000 5.323 0.000
0.000 0.000 5.529
ATOMIC_POSITIONS angstrom
Hf 0.785 0.430 1.382
Hf 0.785 2.231 4.147
Hf 5.363 3.092 1.382
Hf 5.363 4.893 4.147
Nb 2.332 3.113 1.382
Nb 2.332 4.872 4.147
Nb 3.815 0.451 1.382
Nb 3.815 2.211 4.147
N 0.772 3.993 0.000
N 0.772 3.993 2.764
N 2.309 1.331 0.000
N 2.309 1.331 2.764
N 3.838 3.993 0.000
N 3.838 3.993 2.764
N 5.375 1.331 0.000
N 5.375 1.331 2.764
```

## Properties
ρ ... 11.0 Mg/m³
Total moment ... 0.00 μB/f.u.
E_tot ... -168.84 eV/cell

ZnPd2Pt4: optimized geometry, PBE. Values from VASP.

The structure in Quantum ESPRESSO input format:
```
&SYSTEM
  ibrav = 0, nat = 14, ntyp = 3
/
ATOMIC_SPECIES
Zn 65.41 Zn.upf
Pd 106.42 Pd.upf
Pt 195.08 Pt.upf
CELL_PARAMETERS angstrom
1.369 -8.833 0.000
1.369 8.833 0.000
0.000 0.000 9.545
ATOMIC_POSITIONS angstrom
Zn 1.369 6.616 7.158
Zn 1.369 -6.616 2.386
Pd 1.369 2.263 5.662
Pd 1.369 2.263 8.655
Pd 1.369 -2.263 0.890
Pd 1.369 -2.263 3.882
Pt 0.000 0.000 0.000
Pt 0.000 0.000 4.772
Pt 1.369 4.144 1.107
Pt 1.369 4.144 3.666
Pt 1.369 0.048 2.386
Pt 1.369 -0.048 7.158
Pt 1.369 -4.144 5.879
Pt 1.369 -4.144 8.438
```

## Properties
ρ ... 15.2 Mg/m³
Formation energy ... -0.0701 eV per atom
Total moment ... 0.00 μB/f.u.
E above lowest polymorph ... 0.000 eV per atom
E_tot ... -72.63 eV/cell

Er3Zr2In2: optimized geometry, PBE. Values from VASP.

The structure in Quantum ESPRESSO input format:
```
&SYSTEM
  ibrav = 0, nat = 7, ntyp = 3
/
ATOMIC_SPECIES
Er 167.26 Er.upf
Zr 91.22 Zr.upf
In 114.82 In.upf
CELL_PARAMETERS angstrom
2.446 -11.345 0.000
2.446 11.345 0.000
0.000 0.000 3.269
ATOMIC_POSITIONS angstrom
Er 0.000 0.000 0.000
Er 2.446 7.969 0.000
Er 2.446 -7.969 0.000
Zr 2.446 5.089 1.635
Zr 2.446 -5.089 1.635
In 2.446 1.745 1.635
In 2.446 -1.745 1.635
```

## Properties
ρ ... 8.4 Mg/m³
Formation energy ... -0.1872 eV per atom
Total moment ... 0.22 μB/f.u.
E_tot ... -37.57 eV/cell

YZrSi2: optimized geometry, PBE. Values from VASP.

The structure in Quantum ESPRESSO input format:
```
&SYSTEM
  ibrav = 0, nat = 4, ntyp = 3
/
ATOMIC_SPECIES
Y 88.91 Y.upf
Zr 91.22 Zr.upf
Si 28.09 Si.upf
CELL_PARAMETERS angstrom
3.514 0.000 0.000
0.000 3.700 0.000
0.000 0.000 6.152
ATOMIC_POSITIONS angstrom
Y 0.000 0.000 0.000
Zr 0.000 0.000 3.076
Si 1.757 1.850 1.825
Si 1.757 1.850 4.328
```

## Properties
ρ ... 4.9 Mg/m³
Total moment ... 0.00 μB/f.u.
E above lowest polymorph ... 0.299 eV per atom
E_tot ... -28.01 eV/cell

LiCo2N2: optimized geometry, PBE. Values from VASP.

The structure in Quantum ESPRESSO input format:
```
&SYSTEM
  ibrav = 0, nat = 5, ntyp = 3
/
ATOMIC_SPECIES
Li 6.94 Li.upf
Co 58.93 Co.upf
N 14.01 N.upf
CELL_PARAMETERS angstrom
-1.801 1.801 3.668
1.801 -1.801 3.668
1.801 1.801 -3.668
ATOMIC_POSITIONS angstrom
Li 0.000 0.000 0.000
Co 0.000 0.000 2.460
Co 0.000 0.000 4.877
N 1.801 0.000 1.834
N 0.000 1.801 1.834
```

## Properties
ρ ... 5.3 Mg/m³
Total moment ... 0.63 μB/f.u.
E above lowest polymorph ... 0.000 eV per atom
E_tot ... -31.69 eV/cell